This record from Alexandria describes AcMg3Hg9 after structural relaxation. The functional is PBE.

Cell lengths 7.8495, 7.8495, 7.6631 Å; angles 99.11, 99.11, 133.35 degrees
With the nearest neighbours (Å) after each atom.
Fractional coordinates of all 13 atoms:
Ac: 0.0000 0.0000 0.0000  10 Hg 3.46-3.83, 2 Mg 3.85
Mg: 0.0000 0.5000 0.0000  8 Hg 2.91-3.03, 2 Mg 3.11
Mg: 0.5000 0.0000 0.0000  8 Hg 2.91-3.03, 2 Mg 3.11
Mg: 0.5000 0.5000 0.5000  10 Hg 2.91-3.19
Hg: 0.0000 0.0000 0.5000  8 Hg 3.06-3.17, 2 Mg 3.11
Hg: 0.0088 0.6584 0.6637  3 Mg 3.02-3.19, 5 Hg 3.15-3.30
Hg: 0.3037 0.5218 0.7853  3 Mg 2.91-3.03, 5 Hg 3.03-3.25
Hg: 0.3416 0.9912 0.3363  3 Mg 3.02-3.19, 5 Hg 3.15-3.30
Hg: 0.4782 0.6963 0.2147  3 Mg 2.91-3.03, 5 Hg 3.03-3.25
Hg: 0.5218 0.3037 0.7853  3 Mg 2.91-3.03, 5 Hg 3.03-3.25
Hg: 0.6584 0.0088 0.6637  3 Mg 3.02-3.19, 5 Hg 3.15-3.30
Hg: 0.6963 0.4782 0.2147  3 Mg 2.91-3.03, 5 Hg 3.03-3.25
Hg: 0.9912 0.3416 0.3363  3 Mg 3.02-3.19, 5 Hg 3.15-3.30

## Properties
Its magnetization is 0.000 μB per atom. The calculation puts the electronic total energy at -1.105 eV/atom. As for the space-group type: C2/m. Its formation enthalpy at 0 K is -212 meV/atom.



This record from Alexandria describes AcMg9Hg2 after structural relaxation. The functional is PBE.

Cell lengths 9.4486, 9.4486, 9.4486 Å; angles 99.80, 99.80, 131.27 degrees
With the nearest neighbours (Å) after each atom.
Fractional coordinates of all 24 atoms:
Ac: 0.3750 0.6250 0.7500  18 Mg 3.74-3.95
Ac: 0.6250 0.3750 0.2500  18 Mg 3.74-3.95
Mg: 0.1250 0.8750 0.2500  4 Hg 3.20, 8 Mg 3.24
Mg: 0.1338 0.5597 0.3297  2 Hg 2.95-2.96, 7 Mg 2.98-3.29
Mg: 0.1338 0.8041 0.5742  2 Hg 2.95-2.96, 7 Mg 2.98-3.29
Mg: 0.1959 0.2700 0.3297  2 Hg 2.95-2.96, 7 Mg 2.98-3.29
Mg: 0.1959 0.8662 0.9258  2 Hg 2.95-2.96, 7 Mg 2.98-3.29
Mg: 0.2700 0.1959 0.8297  2 Hg 2.95-2.96, 7 Mg 2.98-3.29
Mg: 0.2700 0.4403 0.0742  2 Hg 2.95-2.96, 7 Mg 2.98-3.29
Mg: 0.4403 0.2700 0.5742  2 Hg 2.95-2.96, 7 Mg 2.98-3.29
Mg: 0.4403 0.8662 0.1703  2 Hg 2.95-2.96, 7 Mg 2.98-3.29
Mg: 0.5597 0.1338 0.8297  2 Hg 2.95-2.96, 7 Mg 2.98-3.29
Mg: 0.5597 0.7300 0.4258  2 Hg 2.95-2.96, 7 Mg 2.98-3.29
Mg: 0.7300 0.5597 0.9258  2 Hg 2.95-2.96, 7 Mg 2.98-3.29
Mg: 0.7300 0.8041 0.1703  2 Hg 2.95-2.96, 7 Mg 2.98-3.29
Mg: 0.8041 0.1338 0.0742  2 Hg 2.95-2.96, 7 Mg 2.98-3.29
Mg: 0.8041 0.7300 0.6703  2 Hg 2.95-2.96, 7 Mg 2.98-3.29
Mg: 0.8662 0.1959 0.4258  2 Hg 2.95-2.96, 7 Mg 2.98-3.29
Mg: 0.8662 0.4403 0.6703  2 Hg 2.95-2.96, 7 Mg 2.98-3.29
Mg: 0.8750 0.1250 0.7500  4 Hg 3.20, 8 Mg 3.24
Hg: 0.0000 0.0000 0.0000  10 Mg 2.95-3.20
Hg: 0.0000 0.0000 0.5000  10 Mg 2.95-3.20
Hg: 0.0000 0.5000 0.0000  10 Mg 2.95-3.20
Hg: 0.5000 0.0000 0.5000  10 Mg 2.95-3.20

## Properties
Its magnetization is 0.000 μB per atom. The calculation puts the electronic total energy at -1.762 eV/atom. As for the space-group type: I4_1/amd. Its formation enthalpy at 0 K is -174 meV/atom. The calculation puts the offset from the most stable computed form at 0 meV/atom.



This record from Alexandria describes Ac5Mg4Hg4 after structural relaxation. The functional is PBE.

Cell lengths 9.4051, 9.4051, 9.4051 Å; angles 93.86, 93.86, 149.94 degrees
With the nearest neighbours (Å) after each atom.
Fractional coordinates of all 13 atoms:
Ac: 0.0000 0.0000 0.0000  4 Hg 3.41
Ac: 0.2912 0.6324 0.9237  5 Hg 3.32-3.53, 1 Mg 3.62
Ac: 0.3676 0.2912 0.6588  5 Hg 3.32-3.53, 1 Mg 3.62
Ac: 0.6324 0.7088 0.3412  5 Hg 3.32-3.53, 1 Mg 3.62
Ac: 0.7088 0.3676 0.0763  5 Hg 3.32-3.53, 1 Mg 3.62
Mg: 0.0996 0.4254 0.5249  3 Hg 2.92-3.04, 1 Mg 3.20
Mg: 0.4254 0.9004 0.3258  3 Hg 2.92-3.04, 1 Mg 3.20
Mg: 0.5746 0.0996 0.6742  3 Hg 2.92-3.04, 1 Mg 3.20
Mg: 0.9004 0.5746 0.4751  3 Hg 2.92-3.04, 1 Mg 3.20
Hg: 0.0560 0.7402 0.7962  3 Mg 2.92-3.04
Hg: 0.2598 0.0560 0.3158  3 Mg 2.92-3.04
Hg: 0.7402 0.9440 0.6842  3 Mg 2.92-3.04
Hg: 0.9440 0.2598 0.2038  3 Mg 2.92-3.04

## Properties
Its magnetization is 0.000 μB per atom. The calculation puts the electronic total energy at -2.497 eV/atom. As for the space-group type: I4/m. Its formation enthalpy at 0 K is -334 meV/atom.



This record from Alexandria describes AcMg2Hg6 after structural relaxation. The functional is PBE.

Cell lengths 6.3968, 6.3968, 7.4523 Å; angles 90.00, 90.00, 120.00 degrees
With the nearest neighbours (Å) after each atom.
Fractional coordinates of all 9 atoms:
Ac: 0.0000 0.0000 0.0000  12 Hg 3.52
Mg: 0.3333 0.6667 0.5000  6 Hg 2.91
Mg: 0.6667 0.3333 0.5000  6 Hg 2.91
Hg: 0.0000 0.5000 0.1985  2 Mg 2.91, 5 Hg 2.96-3.20
Hg: 0.0000 0.5000 0.8015  2 Mg 2.91, 5 Hg 2.96-3.20
Hg: 0.5000 0.0000 0.1985  2 Mg 2.91, 5 Hg 2.96-3.20
Hg: 0.5000 0.0000 0.8015  2 Mg 2.91, 5 Hg 2.96-3.20
Hg: 0.5000 0.5000 0.1985  2 Mg 2.91, 5 Hg 2.96-3.20
Hg: 0.5000 0.5000 0.8015  2 Mg 2.91, 5 Hg 2.96-3.20

## Properties
Its magnetization is 0.000 μB per atom. The calculation puts the electronic total energy at -1.141 eV/atom. As for the space-group type: P6/mmm. Its formation enthalpy at 0 K is -129 meV/atom. The calculation puts the offset from the most stable computed form at 78 meV/atom.



This record from Alexandria describes Ac3Mg3Hg2 after structural relaxation. The functional is PBE.

Cell lengths 9.2730, 17.3639, 6.2616 Å; angles 90.00, 90.00, 90.00 degrees
With the nearest neighbours (Å) after each atom.
Fractional coordinates of all 32 atoms:
Ac: 0.0415 0.1127 0.1114  3 Hg 3.36-3.56, 6 Mg 3.55-3.72
Ac: 0.0415 0.3873 0.1114  3 Hg 3.36-3.56, 6 Mg 3.55-3.72
Ac: 0.1765 0.2500 0.6126  5 Mg 3.42-3.77, 4 Hg 3.57-3.60
Ac: 0.3235 0.7500 0.1126  5 Mg 3.42-3.77, 4 Hg 3.57-3.60
Ac: 0.4585 0.6127 0.6114  3 Hg 3.36-3.56, 6 Mg 3.55-3.72
Ac: 0.4585 0.8873 0.6114  3 Hg 3.36-3.56, 6 Mg 3.55-3.72
Ac: 0.5415 0.1127 0.3886  3 Hg 3.36-3.56, 6 Mg 3.55-3.72
Ac: 0.5415 0.3873 0.3886  3 Hg 3.36-3.56, 6 Mg 3.55-3.72
Ac: 0.6765 0.2500 0.8874  5 Mg 3.42-3.77, 4 Hg 3.57-3.60
Ac: 0.8235 0.7500 0.3874  5 Mg 3.42-3.77, 4 Hg 3.57-3.60
Ac: 0.9585 0.6127 0.8886  3 Hg 3.36-3.56, 6 Mg 3.55-3.72
Ac: 0.9585 0.8873 0.8886  3 Hg 3.36-3.56, 6 Mg 3.55-3.72
Mg: 0.1711 0.7500 0.6108  2 Hg 2.91
Mg: 0.1812 0.0330 0.6055  3 Hg 2.91-2.99
Mg: 0.1812 0.4670 0.6055  3 Hg 2.91-2.99
Mg: 0.3188 0.5330 0.1055  3 Hg 2.91-2.99
Mg: 0.3188 0.9670 0.1055  3 Hg 2.91-2.99
Mg: 0.3289 0.2500 0.1108  2 Hg 2.91
Mg: 0.6711 0.7500 0.8892  2 Hg 2.91
Mg: 0.6812 0.0330 0.8945  3 Hg 2.91-2.99
Mg: 0.6812 0.4670 0.8945  3 Hg 2.91-2.99
Mg: 0.8188 0.5330 0.3945  3 Hg 2.91-2.99
Mg: 0.8188 0.9670 0.3945  3 Hg 2.91-2.99
Mg: 0.8289 0.2500 0.3892  2 Hg 2.91
Hg: 0.1082 0.6089 0.3775  4 Mg 2.91-2.99
Hg: 0.1082 0.8911 0.3775  4 Mg 2.91-2.99
Hg: 0.3918 0.1089 0.8775  4 Mg 2.91-2.99
Hg: 0.3918 0.3911 0.8775  4 Mg 2.91-2.99
Hg: 0.6082 0.6089 0.1225  4 Mg 2.91-2.99
Hg: 0.6082 0.8911 0.1225  4 Mg 2.91-2.99
Hg: 0.8918 0.1089 0.6225  4 Mg 2.91-2.99
Hg: 0.8918 0.3911 0.6225  4 Mg 2.91-2.99

## Properties
Its magnetization is 0.000 μB per atom. The calculation puts the electronic total energy at -2.454 eV/atom. As for the space-group type: Pnma. Its formation enthalpy at 0 K is -240 meV/atom. The calculation puts the offset from the most stable computed form at 11 meV/atom.



This record from Alexandria describes Ac2Mg2Hg3 after structural relaxation. The functional is PBE.

Cell lengths 10.9439, 10.9439, 8.4569 Å; angles 90.00, 90.00, 156.34 degrees
With the nearest neighbours (Å) after each atom.
Fractional coordinates of all 14 atoms:
Ac: 0.0595 0.9405 0.7500  9 Hg 3.47-3.79
Ac: 0.1501 0.8499 0.2500  6 Hg 3.32-3.42, 6 Mg 3.57-3.72
Ac: 0.8499 0.1501 0.7500  6 Hg 3.32-3.42, 6 Mg 3.57-3.72
Ac: 0.9405 0.0595 0.2500  9 Hg 3.47-3.79
Mg: 0.3069 0.6931 0.0599  4 Hg 2.87-3.10
Mg: 0.3069 0.6931 0.4401  4 Hg 2.87-3.10
Mg: 0.6931 0.3069 0.5599  4 Hg 2.87-3.10
Mg: 0.6931 0.3069 0.9401  4 Hg 2.87-3.10
Hg: 0.2294 0.7706 0.7500  6 Mg 2.87-3.10
Hg: 0.4374 0.5626 0.5628  2 Hg 2.89-3.17, 1 Mg 2.98
Hg: 0.4374 0.5626 0.9372  2 Hg 2.89-3.17, 1 Mg 2.98
Hg: 0.5626 0.4374 0.0628  2 Hg 2.89-3.17, 1 Mg 2.98
Hg: 0.5626 0.4374 0.4372  2 Hg 2.89-3.17, 1 Mg 2.98
Hg: 0.7706 0.2294 0.2500  6 Mg 2.87-3.10

## Properties
Its magnetization is 0.000 μB per atom. The calculation puts the electronic total energy at -2.131 eV/atom. As for the space-group type: Cmcm. Its formation enthalpy at 0 K is -373 meV/atom.